A plane-wave DFT calculation with PBE was carried out for Zn4Pd4Pt5 after structural relaxation.

Symmetry = I4/m, No. 87
Calculated total energy = -4.697 eV/atom
ΔH_f (0 K) = -0.384 eV/atom

CIF file:
```
data_Zn4Pd4Pt5
_chemical_formula_sum 'Zn4 Pd4 Pt5'
_cell_length_a 7.2567
_cell_length_b 7.2567
_cell_length_c 7.2567
_cell_angle_alpha 94.38
_cell_angle_beta 94.38
_cell_angle_gamma 147.93
_space_group_name_H-M_alt 'P 1'
_space_group_IT_number 1
loop_
_space_group_symop_operation_xyz
'x,y,z'
loop_
_atom_site_label
_atom_site_type_symbol
_atom_site_fract_x
_atom_site_fract_y
_atom_site_fract_z
Zn1 Zn 0.1397 0.2309 0.3706
Zn2 Zn 0.2309 0.8603 0.0912
Zn3 Zn 0.7691 0.1397 0.9088
Zn4 Zn 0.8603 0.7691 0.6294
Pd1 Pd 0.0884 0.6145 0.7028
Pd2 Pd 0.3855 0.0884 0.4739
Pd3 Pd 0.6145 0.9116 0.5261
Pd4 Pd 0.9116 0.3855 0.2972
Pt1 Pt 0.0000 0.0000 0.0000
Pt2 Pt 0.3076 0.4408 0.7485
Pt3 Pt 0.4408 0.6924 0.1332
Pt4 Pt 0.5592 0.3076 0.8668
Pt5 Pt 0.6924 0.5592 0.2515
```